This record from the Alexandria database describes a crystal of TcSb2WI relaxed with PBEsol. The functional is SCAN.

Summary:
Fermi-level density of states = 0.589 states/eV/atom
Energy relative to the elements, uncorrected = 1.64 eV/atom
Crystal system = tetragonal

Geometry as POSCAR:
```
TcSb2WI
1.0
4.971 0.000 0.000
0.000 4.971 0.000
0.000 0.000 5.483
Sb Tc I W
2 1 1 1
Direct
0.500 0.000 0.000 Sb
0.000 0.500 0.000 Sb
0.000 0.000 0.000 Tc
0.000 0.000 0.500 I
0.500 0.500 0.500 W
```


This record from the Alexandria database describes a crystal of K3Ba relaxed with PBEsol. The functional is SCAN.

Summary:
Fermi-level density of states = 1.199 states/eV/atom
DFT formation energy = 0.11 eV per atom
Crystal system = tetragonal

Geometry as POSCAR:
```
K3Ba
1.0
6.319 0.000 0.000
0.000 6.319 0.000
-3.159 -3.159 6.758
Ba K
1 3
Direct
0.000 0.000 0.000 Ba
0.750 0.250 0.500 K
0.250 0.750 0.500 K
0.500 0.500 0.000 K
```


This record from the Alexandria database describes a crystal of MoAs2Se relaxed with PBEsol. The functional is SCAN.

Summary:
Fermi-level density of states = 0.633 states/eV/atom
Energy relative to the elements, uncorrected = 0.53 eV/atom
Crystal system = orthorhombic

Geometry as POSCAR:
```
MoAs2Se
1.0
-2.710 -0.249 1.660
-0.003 -4.623 -0.697
2.357 0.773 3.963
As Se Mo
2 1 1
Direct
0.000 0.500 0.000 As
0.000 0.000 0.500 As
0.500 0.500 0.500 Se
0.500 0.000 0.000 Mo
```


This record from the Alexandria database describes a crystal of InRuRh relaxed with PBEsol. The functional is SCAN.

Summary:
Fermi-level density of states = 1.127 states/eV/atom
DFT formation energy = 0.30 eV per atom
Crystal system = cubic

Geometry as POSCAR:
```
InRuRh
1.0
4.234 0.000 0.000
2.117 3.667 0.000
2.117 1.222 3.457
Ru Rh In
1 1 1
Direct
0.000 0.000 0.000 Ru
0.250 0.250 0.250 Rh
0.500 0.500 0.500 In
```


This record from the Alexandria database describes a crystal of Zr2Ag2Pb relaxed with PBEsol. The functional is SCAN.

Summary:
Fermi-level density of states = 0.663 states/eV/atom
DFT formation energy = 0.22 eV per atom
Crystal system = tetragonal

Geometry as POSCAR:
```
Zr2Ag2Pb
1.0
4.172 0.000 0.000
0.000 4.172 0.000
-2.086 -2.086 6.478
Ag Zr Pb
2 2 1
Direct
0.400 0.400 0.801 Ag
0.600 0.600 0.199 Ag
0.750 0.250 0.500 Zr
0.250 0.750 0.500 Zr
0.000 0.000 0.000 Pb
```


This record from the Alexandria database describes a crystal of SbAu2S2 relaxed with PBEsol. The functional is SCAN.

Summary:
Fermi-level density of states = 0.536 states/eV/atom
Energy relative to the elements, uncorrected = 0.50 eV/atom
Crystal system = tetragonal

Geometry as POSCAR:
```
SbAu2S2
1.0
-0.858 -3.777 -1.555
3.945 -1.178 0.683
-2.963 0.692 5.554
Au S Sb
2 2 1
Direct
0.381 0.381 0.763 Au
0.619 0.619 0.237 Au
0.250 0.750 0.500 S
0.750 0.250 0.500 S
0.000 0.000 0.000 Sb
```


This record from the Alexandria database describes a crystal of OsPtIN2 relaxed with PBEsol. The functional is SCAN.

Summary:
Fermi-level density of states = 0.680 states/eV/atom
Energy relative to the elements, uncorrected = 1.92 eV/atom
Crystal system = tetragonal

Geometry as POSCAR:
```
OsPtIN2
1.0
3.723 0.000 0.000
0.000 3.723 0.000
0.000 0.000 7.386
N I Os Pt
2 1 1 1
Direct
0.500 0.000 0.000 N
0.000 0.500 0.000 N
0.000 0.000 0.500 I
0.500 0.500 0.500 Os
0.000 0.000 0.000 Pt
```


This record from the Alexandria database describes a crystal of ZnNi5 relaxed with PBEsol. The functional is SCAN.

Summary:
Fermi-level density of states = 1.148 states/eV/atom
DFT formation energy = -0.01 eV per atom
Crystal system = orthorhombic

Geometry as POSCAR:
```
ZnNi5
1.0
2.482 0.000 0.000
0.000 4.041 0.000
-1.241 0.000 6.406
Zn Ni
1 5
Direct
0.111 0.500 0.223 Zn
0.997 0.000 0.995 Ni
0.780 0.500 0.561 Ni
0.668 0.000 0.337 Ni
0.333 0.000 0.666 Ni
0.443 0.500 0.886 Ni
```


This record from the Alexandria database describes a crystal of LaPbCl2 relaxed with PBEsol. The functional is SCAN.

Summary:
Fermi-level density of states = 0.504 states/eV/atom
Energy relative to the elements, uncorrected = -1.00 eV/atom
Crystal system = cubic

Geometry as POSCAR:
```
LaPbCl2
1.0
-4.577 -0.959 2.543
-3.474 -3.501 -2.003
-0.767 -4.675 2.427
Pb La Cl
1 1 2
Direct
0.250 0.250 0.250 Pb
0.500 0.500 0.500 La
0.000 0.000 0.000 Cl
0.750 0.750 0.750 Cl
```


This record from the Alexandria database describes a crystal of ZnSb2Rh relaxed with PBEsol. The functional is SCAN.

Summary:
Fermi-level density of states = 0.646 states/eV/atom
Energy relative to the elements, uncorrected = 0.03 eV/atom
Crystal system = trigonal

Geometry as POSCAR:
```
ZnSb2Rh
1.0
-1.722 2.439 1.221
-0.485 0.198 3.183
6.736 5.736 2.304
Rh Sb Zn
1 2 1
Direct
0.753 0.753 0.740 Rh
0.018 0.018 0.945 Sb
0.241 0.241 0.276 Sb
0.487 0.487 0.540 Zn
```


This record from the Alexandria database describes a crystal of SmZn5 relaxed with PBEsol. The functional is SCAN.

Summary:
Fermi-level density of states = 0.317 states/eV/atom
DFT formation energy = -0.38 eV per atom
Crystal system = hexagonal

Geometry as POSCAR:
```
SmZn5
1.0
-1.297 -0.651 3.902
-4.682 -1.531 -1.812
3.829 -3.524 0.685
Zn Sm
5 1
Direct
0.500 0.000 0.500 Zn
0.000 0.667 0.333 Zn
0.500 0.500 0.500 Zn
0.000 0.333 0.667 Zn
0.500 0.500 0.000 Zn
0.000 0.000 0.000 Sm
```


This record from the Alexandria database describes a crystal of CoRh relaxed with PBEsol. The functional is SCAN.

Summary:
Fermi-level density of states = 1.099 states/eV/atom
DFT formation energy = 0.06 eV per atom
Crystal system = orthorhombic

Geometry as POSCAR:
```
CoRh
1.0
-1.016 2.164 -1.028
-0.755 -1.783 -3.006
-6.943 -1.896 2.869
Rh Co
3 3
Direct
0.000 0.000 0.672 Rh
0.500 0.500 0.157 Rh
0.000 0.000 0.337 Rh
0.500 0.500 0.837 Co
0.000 0.000 0.991 Co
0.500 0.500 0.505 Co
```


This record from the Alexandria database describes a crystal of FeCo2 relaxed with PBEsol. The functional is SCAN.

Summary:
Fermi-level density of states = 0.653 states/eV/atom
DFT formation energy = -0.02 eV per atom
Crystal system = tetragonal

Geometry as POSCAR:
```
FeCo2
1.0
-0.393 2.397 2.488
-1.017 -2.473 2.222
10.730 -1.408 0.623
Co Fe
8 4
Direct
0.250 0.250 0.499 Co
0.418 0.418 0.835 Co
0.832 0.332 0.665 Co
0.750 0.750 0.501 Co
0.668 0.168 0.335 Co
0.500 0.000 0.999 Co
0.000 0.500 0.001 Co
0.582 0.582 0.165 Co
0.081 0.081 0.163 Fe
0.919 0.919 0.837 Fe
0.331 0.831 0.663 Fe
0.169 0.669 0.337 Fe
```


This record from the Alexandria database describes a crystal of Li2LaIr relaxed with PBEsol. The functional is SCAN.

Summary:
Fermi-level density of states = 0.402 states/eV/atom
DFT formation energy = -0.24 eV per atom
Crystal system = tetragonal

Geometry as POSCAR:
```
Li2LaIr
1.0
4.015 0.000 0.000
0.000 4.015 0.000
-2.008 -2.008 10.149
La Li Ir
2 4 2
Direct
0.750 0.250 0.500 La
0.500 0.500 0.000 La
0.956 0.875 0.250 Li
0.294 0.375 0.250 Li
0.125 0.706 0.750 Li
0.625 0.044 0.750 Li
0.250 0.750 0.500 Ir
0.000 0.000 0.000 Ir
```


This record from the Alexandria database describes a crystal of BaTa2Mn relaxed with PBEsol. The functional is SCAN.

Summary:
Fermi-level density of states = 0.577 states/eV/atom
DFT formation energy = 1.04 eV per atom
Crystal system = cubic

Geometry as POSCAR:
```
BaTa2Mn
1.0
4.884 0.000 0.000
2.442 4.230 0.000
2.442 1.410 3.988
Mn Ba Ta
1 1 2
Direct
0.250 0.250 0.250 Mn
0.500 0.500 0.500 Ba
0.000 0.000 0.000 Ta
0.750 0.750 0.750 Ta
```


This record from the Alexandria database describes a crystal of Zr3ScTc relaxed with PBEsol. The functional is SCAN.

Summary:
Fermi-level density of states = 1.627 states/eV/atom
DFT formation energy = 0.28 eV per atom
Crystal system = cubic

Geometry as POSCAR:
```
Zr3ScTc
1.0
-4.172 2.469 -1.064
-1.686 -3.933 -2.515
-2.094 -1.752 4.145
Zr Sc Tc
3 1 1
Direct
0.500 0.000 0.000 Zr
0.000 0.500 0.000 Zr
0.000 0.000 0.500 Zr
0.500 0.500 0.500 Sc
0.000 0.000 0.000 Tc
```


This record from the Alexandria database describes a crystal of Rb3CaCr relaxed with PBEsol. The functional is SCAN.

Summary:
Fermi-level density of states = 0.703 states/eV/atom
DFT formation energy = 0.63 eV per atom
Crystal system = cubic

Geometry as POSCAR:
```
Rb3CaCr
1.0
-0.683 6.746 1.189
-6.676 -0.388 -1.634
-1.534 -1.315 6.581
Rb Cr Ca
3 1 1
Direct
0.000 0.500 0.000 Rb
0.500 0.000 0.000 Rb
0.000 0.000 0.500 Rb
0.000 0.000 0.000 Cr
0.500 0.500 0.500 Ca
```


This record from the Alexandria database describes a crystal of NiI relaxed with PBEsol. The functional is SCAN.

Summary:
Fermi-level density of states = 1.146 states/eV/atom
Energy relative to the elements, uncorrected = 0.23 eV/atom
Crystal system = hexagonal

Geometry as POSCAR:
```
NiI
1.0
3.959 0.000 0.000
-1.979 3.428 0.000
0.000 0.000 6.773
Ni I
2 2
Direct
0.333 0.667 0.131 Ni
0.667 0.333 0.631 Ni
0.333 0.667 0.494 I
0.667 0.333 0.994 I
```


This record from the Alexandria database describes a crystal of BaRh3Au relaxed with PBEsol. The functional is SCAN.

Summary:
Fermi-level density of states = 2.042 states/eV/atom
DFT formation energy = 0.78 eV per atom
Crystal system = cubic

Geometry as POSCAR:
```
BaRh3Au
1.0
-2.686 -3.781 -1.572
1.941 0.480 -4.470
3.606 -3.075 1.235
Rh Ba Au
3 1 1
Direct
0.000 0.500 0.000 Rh
0.500 0.000 0.000 Rh
0.000 0.000 0.500 Rh
0.500 0.500 0.500 Ba
0.000 0.000 0.000 Au
```


This record from the Alexandria database describes a crystal of Zn2CuPt relaxed with PBEsol. The functional is SCAN.

Summary:
Fermi-level density of states = 0.290 states/eV/atom
DFT formation energy = -0.37 eV per atom
Crystal system = orthorhombic

Geometry as POSCAR:
```
Zn2CuPt
1.0
-0.819 2.147 1.544
-4.280 -1.062 -0.794
1.194 -2.212 3.709
Zn Cu Pt
2 1 1
Direct
0.000 0.500 0.000 Zn
0.000 0.000 0.500 Zn
0.500 0.000 0.000 Cu
0.500 0.500 0.500 Pt
```


| no. | theoretical density (g cm⁻³) | electronic total energy (eV for the cell shown) |
| --- | --- | --- |
| 1 | 8.00 | -207.82 |
| 2 | 1.57 | -64.08 |
| 3 | 8.09 | -93.22 |
| 4 | 9.86 | -101.08 |
| 5 | 8.91 | -198.80 |
| 6 | 9.86 | -192.35 |
| 7 | 8.76 | -187.77 |
| 8 | 9.28 | -94.47 |
| 9 | 6.49 | -138.86 |
| 10 | 8.48 | -121.70 |
| 11 | 7.98 | -114.32 |
| 12 | 11.18 | -152.84 |
| 13 | 9.04 | -211.19 |
| 14 | 7.00 | -239.93 |
| 15 | 11.17 | -186.80 |
| 16 | 5.66 | -140.01 |
| 17 | 1.77 | -87.10 |
| 18 | 6.71 | -104.90 |
| 19 | 9.09 | -206.14 |
| 20 | 12.13 | -113.89 |